Tb4ErPu3S8 | PBE-GGA | optimized geometry

Results
raw formation energy	-31.01	eV per formula unit

a b c (Å): 7.8419 7.8419 19.3147
angles (deg): 90.00 90.00 120.00
Last column: nearest neighbours and their distance in Å.
Space group R-3m (No. 166, hexagonal axes)
Unique sites:
Tb (0.0000, 0.0000, 0.0000) (multiplicity 3)  6 S 2.80
Tb (0.0000, 0.5000, 0.0000) (multiplicity 9)  6 S 2.77
Er (0.0000, 0.0000, 0.5000) (multiplicity 3)  6 S 2.76
Pu (0.0000, 0.5000, 0.5000) (multiplicity 9)  6 S 2.78
S (0.0000, 0.0000, 0.2503) (multiplicity 6)  3 Tb 2.77, 3 Pu 2.78
S (0.0033, 0.5017, 0.2498) (multiplicity 18)  1 Er 2.76, 3 Tb 2.77-2.80, 2 Pu 2.78